1.
Here is crystalline HfCrSbTe2 at its relaxed geometry from Alexandria. Energies are from GGA-PBE.

Geometry as CIF:
```
data_HfCrSbTe2
_space_group_name_H-M_alt 'P 1'
_space_group_IT_number 1
_cell_length_a 5.533
_cell_length_b 5.533
_cell_length_c 5.549
_cell_angle_alpha 90.00
_cell_angle_beta 90.00
_cell_angle_gamma 90.00
loop_
_space_group_symop_operation_xyz
'x,y,z'
loop_
_atom_site_label
_atom_site_type_symbol
_atom_site_fract_x
_atom_site_fract_y
_atom_site_fract_z
Hf1 Hf 0.000 0.000 0.000
Cr1 Cr 0.500 0.500 0.500
Sb1 Sb 0.000 0.000 0.500
Te1 Te 0.000 0.500 0.000
Te2 Te 0.500 0.000 0.000
```

Values from the calculation:
Its crystal system is tetragonal. The calculation puts the density of states at the Fermi level at 4.23 states/eV/cell. Its spin magnetization is 4.39 μB per formula unit. The calculation puts the offset from the most stable computed form at 0 meV per atom. The total energy comes out at -5.5700 eV per atom. Its formation energy without anion corrections is 427 meV/atom.

2.
Here is crystalline HfZn2CrSb at its relaxed geometry from Alexandria. Energies are from GGA-PBE.

Geometry as CIF:
```
data_HfZn2CrSb
_space_group_name_H-M_alt 'P 1'
_space_group_IT_number 1
_cell_length_a 5.135
_cell_length_b 5.135
_cell_length_c 4.751
_cell_angle_alpha 90.00
_cell_angle_beta 90.00
_cell_angle_gamma 90.00
loop_
_space_group_symop_operation_xyz
'x,y,z'
loop_
_atom_site_label
_atom_site_type_symbol
_atom_site_fract_x
_atom_site_fract_y
_atom_site_fract_z
Hf1 Hf 0.000 0.000 0.000
Zn1 Zn 0.000 0.500 0.000
Zn2 Zn 0.500 0.000 0.000
Cr1 Cr 0.000 0.000 0.500
Sb1 Sb 0.500 0.500 0.500
```

Values from the calculation:
Its crystal system is tetragonal. The calculation puts the density of states at the Fermi level at 4.61 states/eV/cell. Its spin magnetization is 2.81 μB per formula unit. The total energy comes out at -4.0936 eV per atom. Its formation energy without anion corrections is 1156 meV/atom.

3.
Here is crystalline Hf3ScCr at its relaxed geometry from Alexandria. Energies are from GGA-PBE.

Geometry as CIF:
```
data_Hf3ScCr
_space_group_name_H-M_alt 'P 1'
_space_group_IT_number 1
_cell_length_a 4.864
_cell_length_b 4.864
_cell_length_c 4.864
_cell_angle_alpha 90.00
_cell_angle_beta 90.00
_cell_angle_gamma 90.00
loop_
_space_group_symop_operation_xyz
'x,y,z'
loop_
_atom_site_label
_atom_site_type_symbol
_atom_site_fract_x
_atom_site_fract_y
_atom_site_fract_z
Hf1 Hf 0.000 0.000 0.500
Hf2 Hf 0.000 0.500 0.000
Hf3 Hf 0.500 0.000 0.000
Sc1 Sc 0.500 0.500 0.500
Cr1 Cr 0.000 0.000 0.000
```

Values from the calculation:
Its crystal system is cubic. The calculation puts the density of states at the Fermi level at 8.14 states/eV/cell. The formation energy comes out at 0.485 eV/atom. Its spin magnetization is 0.00 μB per formula unit. The calculation puts the offset from the most stable computed form at 0 meV per atom. The total energy comes out at -8.6781 eV per atom.

4.
Here is crystalline Hf3ScCr at its relaxed geometry from Alexandria. Energies are from GGA-PBE.

Geometry as CIF:
```
data_Hf3ScCr
_space_group_name_H-M_alt 'P 1'
_space_group_IT_number 1
_cell_length_a 4.981
_cell_length_b 4.981
_cell_length_c 4.981
_cell_angle_alpha 90.00
_cell_angle_beta 90.00
_cell_angle_gamma 90.00
loop_
_space_group_symop_operation_xyz
'x,y,z'
loop_
_atom_site_label
_atom_site_type_symbol
_atom_site_fract_x
_atom_site_fract_y
_atom_site_fract_z
Hf1 Hf 0.000 0.000 0.500
Hf2 Hf 0.000 0.500 0.000
Hf3 Hf 0.500 0.000 0.000
Sc1 Sc 0.000 0.000 0.000
Cr1 Cr 0.500 0.500 0.500
```

Values from the calculation:
Its crystal system is cubic. The calculation puts the density of states at the Fermi level at 8.65 states/eV/cell. The formation energy comes out at 1.502 eV/atom. Its spin magnetization is 3.22 μB per formula unit. The calculation puts the offset from the most stable computed form at 1017 meV per atom. The total energy comes out at -7.6610 eV per atom.

> Which value of spin magnetization does entry 3 give?

0.00 μB per formula unit

Repeat the fourth record exactly.
Here is crystalline Hf3ScCr at its relaxed geometry from Alexandria. Energies are from GGA-PBE.

Geometry as CIF:
```
data_Hf3ScCr
_space_group_name_H-M_alt 'P 1'
_space_group_IT_number 1
_cell_length_a 4.981
_cell_length_b 4.981
_cell_length_c 4.981
_cell_angle_alpha 90.00
_cell_angle_beta 90.00
_cell_angle_gamma 90.00
loop_
_space_group_symop_operation_xyz
'x,y,z'
loop_
_atom_site_label
_atom_site_type_symbol
_atom_site_fract_x
_atom_site_fract_y
_atom_site_fract_z
Hf1 Hf 0.000 0.000 0.500
Hf2 Hf 0.000 0.500 0.000
Hf3 Hf 0.500 0.000 0.000
Sc1 Sc 0.000 0.000 0.000
Cr1 Cr 0.500 0.500 0.500
```

Values from the calculation:
Its crystal system is cubic. The calculation puts the density of states at the Fermi level at 8.65 states/eV/cell. The formation energy comes out at 1.502 eV/atom. Its spin magnetization is 3.22 μB per formula unit. The calculation puts the offset from the most stable computed form at 1017 meV per atom. The total energy comes out at -7.6610 eV per atom.

> spin magnetization of number 1 (HfCrSbTe2)?

4.39 μB per formula unit